# PmDyAl

Crystalline PmDyAl at its relaxed geometry (PBE, Alexandria via LeMat-Bulk).

Output
The value obtained for the formation energy is -0.229 eV/atom. The calculated total energy comes out at -4.594 eV per atom. The polymorph energy (0 for the lowest one) comes out at 0.005 eV per atom.

Cell and atoms, written as POSCAR:
```
PmDyAl
1.0
3.4793 0.0000 0.0000
0.0000 3.4793 0.0000
0.0000 0.0000 13.6838
Pm Dy Al
2 2 2
Direct
0.0000 0.0000 0.0000 Pm
0.5000 0.5000 0.5000 Pm
0.0000 0.0000 0.2946 Dy
0.5000 0.5000 0.7946 Dy
0.0000 0.0000 0.6520 Al
0.5000 0.5000 0.1520 Al
```